{"formula": "PmDy2MgC", "functional": "PBE-GGA", "state": "optimized geometry", "ef_ev_per_atom": -0.146, "magmom_total_mub_per_cell": 0.0, "lattice": [[4.944, 0.000, 0.000], [0.000, 4.944, 0.000], [0.000, 0.000, 5.210]], "species": ["Pm", "Dy", "Dy", "Mg", "C"], "fractional_positions": [[0.000, 0.000, 0.000], [0.000, 0.500, 0.500], [0.500, 0.000, 0.500], [0.500, 0.500, 0.000], [0.000, 0.000, 0.500]]}